Entry 1:
Material: Sc2TlSn2
Method: DFT, SCAN
State: single point on PBEsol structure

a = 4.0653 Å, b = 4.0653 Å, c = 15.0380 Å
α = 90.00°, β = 90.00°, γ = 90.00°
With the nearest neighbours (Å) after each atom.
Sites, in units of the cell vectors:
Sc (0.0000, 0.0000, 0.1013)  4 Sn 3.02, 1 Sc 3.05, 4 Tl 3.25
Sc (0.0000, 0.0000, 0.8987)  4 Sn 3.02, 1 Sc 3.05, 4 Tl 3.25
Sc (0.5000, 0.5000, 0.3987)  4 Sn 3.02, 1 Sc 3.05, 4 Tl 3.25
Sc (0.5000, 0.5000, 0.6013)  4 Sn 3.02, 1 Sc 3.05, 4 Tl 3.25
Tl (0.0000, 0.0000, 0.5000)  8 Sc 3.25
Tl (0.5000, 0.5000, 0.0000)  8 Sc 3.25
Sn (0.0000, 0.5000, 0.2500)  4 Sn 2.87, 4 Sc 3.02
Sn (0.0000, 0.5000, 0.7500)  4 Sn 2.87, 4 Sc 3.02
Sn (0.5000, 0.0000, 0.2500)  4 Sn 2.87, 4 Sc 3.02
Sn (0.5000, 0.0000, 0.7500)  4 Sn 2.87, 4 Sc 3.02

Calculated values
As for the space-group type: I4/mmm. The value obtained for the final energy is -34.772 eV per atom. The magnetic moment is 0.92 μB per cell. The density of states at the Fermi level is 9.53 states/eV/cell. For the formation energy, the calculation gives -0.237 eV/atom.

---

Entry 2:
Material: Au4Cl
Method: DFT, SCAN
State: single point on PBEsol structure

a = 7.7678 Å, b = 7.7678 Å, c = 2.9501 Å
α = 90.00°, β = 90.00°, γ = 90.00°
With the nearest neighbours (Å) after each atom.
Sites, in units of the cell vectors:
Au (0.1098, 0.6883, 0.0000)  8 Au 2.80-2.95, 2 Cl 2.96
Au (0.1883, 0.3902, 0.5000)  8 Au 2.80-2.95, 2 Cl 2.96
Au (0.3117, 0.1098, 0.0000)  8 Au 2.80-2.95, 2 Cl 2.96
Au (0.3902, 0.8117, 0.5000)  8 Au 2.80-2.95, 2 Cl 2.96
Au (0.6098, 0.1883, 0.5000)  8 Au 2.80-2.95, 2 Cl 2.96
Au (0.6883, 0.8902, 0.0000)  8 Au 2.80-2.95, 2 Cl 2.96
Au (0.8117, 0.6098, 0.5000)  8 Au 2.80-2.95, 2 Cl 2.96
Au (0.8902, 0.3117, 0.0000)  8 Au 2.80-2.95, 2 Cl 2.96
Cl (0.0000, 0.0000, 0.5000)  2 Cl 2.95, 8 Au 2.96
Cl (0.5000, 0.5000, 0.0000)  2 Cl 2.95, 8 Au 2.96

Calculated values
The value obtained for the uncorrected formation energy is 0.937 eV per formula unit. As for the space-group type: I4/m. The value obtained for the final energy is -56.734 eV per atom. The magnetic moment is 0.00 μB per cell. The density of states at the Fermi level is 3.25 states/eV/cell.

---

Entry 3:
Material: CaPRh
Method: DFT, SCAN
State: single point on PBEsol structure

a = 6.0706 Å, b = 6.0706 Å, c = 6.0706 Å
α = 90.00°, β = 90.00°, γ = 90.00°
With the nearest neighbours (Å) after each atom.
Sites, in units of the cell vectors:
Ca (0.0000, 0.0000, 0.0000)  4 Rh 2.63
Ca (0.0000, 0.5000, 0.5000)  4 Rh 2.63
Ca (0.5000, 0.0000, 0.5000)  4 Rh 2.63
Ca (0.5000, 0.5000, 0.0000)  4 Rh 2.63
P (0.0000, 0.0000, 0.5000)  4 Rh 2.63
P (0.0000, 0.5000, 0.0000)  4 Rh 2.63
P (0.5000, 0.0000, 0.0000)  4 Rh 2.63
P (0.5000, 0.5000, 0.5000)  4 Rh 2.63
Rh (0.2500, 0.2500, 0.2500)  4 Ca 2.63, 4 P 2.63
Rh (0.2500, 0.7500, 0.7500)  4 Ca 2.63, 4 P 2.63
Rh (0.7500, 0.2500, 0.7500)  4 Ca 2.63, 4 P 2.63
Rh (0.7500, 0.7500, 0.2500)  4 Ca 2.63, 4 P 2.63

Calculated values
As for the space-group type: F-43m. The value obtained for the final energy is -18.416 eV per atom. The magnetic moment is 0.00 μB per cell. The density of states at the Fermi level is 11.76 states/eV/cell. For the formation energy, the calculation gives -0.471 eV/atom.

---

Entry 4:
Material: NaSrS3
Method: DFT, SCAN
State: single point on PBEsol structure

a = 4.9156 Å, b = 4.9156 Å, c = 4.9156 Å
α = 90.00°, β = 90.00°, γ = 90.00°
With the nearest neighbours (Å) after each atom.
Sites, in units of the cell vectors:
Na (0.0000, 0.0000, 0.0000)  6 S 2.46
Sr (0.5000, 0.5000, 0.5000)  12 S 3.48
S (0.0000, 0.0000, 0.5000)  2 Na 2.46
S (0.0000, 0.5000, 0.0000)  2 Na 2.46
S (0.5000, 0.0000, 0.0000)  2 Na 2.46

Calculated values
The value obtained for the uncorrected formation energy is -2.617 eV per formula unit. As for the space-group type: Pm-3m. The value obtained for the final energy is -11.598 eV per atom. The magnetic moment is 2.99 μB per cell. The density of states at the Fermi level is 2.27 states/eV/cell.

---

Entry 5:
Material: CdPbCl
Method: DFT, SCAN
State: single point on PBEsol structure

a = 5.0793 Å, b = 5.0793 Å, c = 3.4048 Å
α = 90.00°, β = 90.00°, γ = 120.00°
With the nearest neighbours (Å) after each atom.
Sites, in units of the cell vectors:
Cd (0.0000, 0.0000, 0.0000)  6 Cl 3.22-3.60, 6 Pb 3.30-3.49, 2 Cd 3.40
Pb (0.6667, 0.3333, 0.4447)  3 Cl 2.99, 3 Cd 3.30
Cl (0.3333, 0.6667, 0.6124)  3 Pb 2.99, 3 Cd 3.22

Calculated values
The value obtained for the uncorrected formation energy is -0.857 eV per formula unit. As for the space-group type: P3m1. The value obtained for the final energy is -38.344 eV per atom. The magnetic moment is 0.00 μB per cell. The density of states at the Fermi level is 0.71 states/eV/cell.

---

Entry 6:
Material: CsSi2HO5
Method: DFT, SCAN
State: single point on PBEsol structure

a = 5.0411 Å, b = 8.7089 Å, c = 12.9193 Å
α = 90.00°, β = 90.00°, γ = 90.00°
With the nearest neighbours (Å) after each atom.
Sites, in units of the cell vectors:
Cs (0.0852, 0.2496, 0.1897)  9 O 3.05-3.37, 2 H 3.12
Cs (0.4148, 0.7504, 0.6897)  9 O 3.05-3.37, 2 H 3.12
Cs (0.5852, 0.2504, 0.8103)  9 O 3.05-3.37, 2 H 3.12
Cs (0.9148, 0.7496, 0.3103)  9 O 3.05-3.37, 2 H 3.12
Si (0.0513, 0.5652, 0.9319)  4 O 1.60-1.64
Si (0.0513, 0.9352, 0.9326)  4 O 1.60-1.64
Si (0.4487, 0.0648, 0.4326)  4 O 1.60-1.64
Si (0.4487, 0.4348, 0.4319)  4 O 1.60-1.64
Si (0.5513, 0.5648, 0.0674)  4 O 1.60-1.64
Si (0.5513, 0.9348, 0.0681)  4 O 1.60-1.64
Si (0.9487, 0.0652, 0.5681)  4 O 1.60-1.64
Si (0.9487, 0.4352, 0.5674)  4 O 1.60-1.64
H (0.0003, 0.0007, 0.7506)  2 O 1.21
H (0.9997, 0.5007, 0.7494)  2 O 1.21
H (0.5003, 0.4993, 0.2494)  2 O 1.21
H (0.4997, 0.9993, 0.2506)  2 O 1.21
O (0.0677, 0.7503, 0.9124)  2 Si 1.63
O (0.1217, 0.0272, 0.8290)  1 H 1.21
O (0.1217, 0.4740, 0.8280)  1 H 1.21
O (0.2481, 0.0198, 0.5281)  2 Si 1.64
O (0.2481, 0.4804, 0.5273)  2 Si 1.64
O (0.2519, 0.5196, 0.0273)  2 Si 1.64
O (0.2519, 0.9802, 0.0281)  2 Si 1.64
O (0.3783, 0.5260, 0.3280)  1 H 1.21
O (0.3783, 0.9728, 0.3290)  1 H 1.21
O (0.4323, 0.2497, 0.4124)  2 Si 1.63
O (0.5677, 0.7497, 0.0876)  2 Si 1.63
O (0.6217, 0.0260, 0.1720)  1 H 1.21
O (0.6217, 0.4728, 0.1710)  1 H 1.21
O (0.7481, 0.0196, 0.4727)  2 Si 1.64
O (0.7481, 0.4802, 0.4719)  2 Si 1.64
O (0.7519, 0.5198, 0.9719)  2 Si 1.64
O (0.7519, 0.9804, 0.9727)  2 Si 1.64
O (0.8783, 0.5272, 0.6710)  1 H 1.21
O (0.8783, 0.9740, 0.6720)  1 H 1.21
O (0.9323, 0.2503, 0.5876)  2 Si 1.63

Calculated values
As for the space-group type: P2_12_12_1. The value obtained for the final energy is -12.881 eV per atom. The magnetic moment is 0.00 μB per cell. The density of states at the Fermi level is 0.00 states/eV/cell.

---

Entry 7:
Material: HfBe2Os2
Method: DFT, SCAN
State: single point on PBEsol structure

a = 6.4273 Å, b = 6.4273 Å, c = 3.0127 Å
α = 90.00°, β = 90.00°, γ = 90.00°
With the nearest neighbours (Å) after each atom.
Sites, in units of the cell vectors:
Hf (0.0000, 0.0000, 0.0000)  4 Be 2.57, 8 Os 2.83
Hf (0.5000, 0.5000, 0.0000)  4 Be 2.57, 8 Os 2.83
Be (0.1184, 0.3816, 0.0000)  1 Be 2.15, 4 Os 2.39
Be (0.3816, 0.8816, 0.0000)  1 Be 2.15, 4 Os 2.39
Be (0.6184, 0.1184, 0.0000)  1 Be 2.15, 4 Os 2.39
Be (0.8816, 0.6184, 0.0000)  1 Be 2.15, 4 Os 2.39
Os (0.1655, 0.6655, 0.5000)  6 Be 2.39-2.48
Os (0.3345, 0.1655, 0.5000)  6 Be 2.39-2.48
Os (0.6655, 0.8345, 0.5000)  6 Be 2.39-2.48
Os (0.8345, 0.3345, 0.5000)  6 Be 2.39-2.48

Calculated values
As for the space-group type: P4/mbm. The value obtained for the final energy is -43.556 eV per atom. The magnetic moment is 0.00 μB per cell. The density of states at the Fermi level is 2.30 states/eV/cell. For the formation energy, the calculation gives -0.528 eV/atom.

---

Entry 8:
Material: MnCd9O10
Method: DFT, SCAN
State: single point on PBEsol structure

a = 5.7209 Å, b = 6.6140 Å, c = 7.4196 Å
α = 102.83°, β = 97.57°, γ = 106.96°
With the nearest neighbours (Å) after each atom.
Sites, in units of the cell vectors:
Mn (0.0000, 0.0000, 0.0000)  6 O 2.02-2.25
Cd (0.0000, 0.5000, 0.0000)  6 O 2.35-2.36
Cd (0.1954, 0.9008, 0.4014)  6 O 2.33-2.43
Cd (0.1984, 0.3972, 0.3983)  6 O 2.34-2.37
Cd (0.4004, 0.8023, 0.7990)  6 O 2.32-2.40
Cd (0.4046, 0.3024, 0.8030)  5 O 2.30-2.45
Cd (0.5954, 0.6976, 0.1970)  5 O 2.30-2.45
Cd (0.5996, 0.1977, 0.2010)  6 O 2.32-2.40
Cd (0.8016, 0.6028, 0.6017)  6 O 2.34-2.37
Cd (0.8046, 0.0992, 0.5986)  6 O 2.33-2.43
O (0.1002, 0.9544, 0.7144)  1 Mn 2.25, 5 Cd 2.32-2.43
O (0.1030, 0.4515, 0.7007)  6 Cd 2.33-2.35
O (0.2590, 0.8701, 0.0873)  1 Mn 2.02
O (0.2849, 0.3275, 0.0907)  1 Mn 2.19, 5 Cd 2.31-2.45
O (0.4973, 0.7495, 0.4912)  6 Cd 2.30-2.40
O (0.5027, 0.2505, 0.5088)  6 Cd 2.30-2.40
O (0.7151, 0.6725, 0.9093)  1 Mn 2.19, 5 Cd 2.31-2.45
O (0.7410, 0.1299, 0.9127)  1 Mn 2.02
O (0.8970, 0.5485, 0.2993)  6 Cd 2.33-2.35
O (0.8998, 0.0456, 0.2856)  1 Mn 2.25, 5 Cd 2.32-2.43

Calculated values
The value obtained for the uncorrected formation energy is -25.729 eV per formula unit. As for the space-group type: P-1. The value obtained for the final energy is -19.001 eV per atom. The magnetic moment is 4.66 μB per cell. The density of states at the Fermi level is 2.15 states/eV/cell.

---

Entry 9:
Material: ErMgGa
Method: DFT, SCAN
State: single point on PBEsol structure

a = 7.1332 Å, b = 7.1332 Å, c = 4.3583 Å
α = 90.00°, β = 90.00°, γ = 120.00°
With the nearest neighbours (Å) after each atom.
Sites, in units of the cell vectors:
Er (0.0000, 0.5724, 0.0000)  5 Ga 3.04-3.05, 2 Mg 3.20
Er (0.4276, 0.4276, 0.0000)  5 Ga 3.04-3.05, 2 Mg 3.20
Er (0.5724, 0.0000, 0.0000)  5 Ga 3.04-3.05, 2 Mg 3.20
Mg (0.0000, 0.2441, 0.5000)  4 Ga 2.75-2.79, 2 Mg 3.02
Mg (0.2441, 0.0000, 0.5000)  4 Ga 2.75-2.79, 2 Mg 3.02
Mg (0.7559, 0.7559, 0.5000)  4 Ga 2.75-2.79, 2 Mg 3.02
Ga (0.0000, 0.0000, 0.0000)  6 Mg 2.79, 3 Er 3.05
Ga (0.3333, 0.6667, 0.5000)  3 Mg 2.75, 6 Er 3.04
Ga (0.6667, 0.3333, 0.5000)  3 Mg 2.75, 6 Er 3.04

Calculated values
As for the space-group type: P-62m. The value obtained for the final energy is -24.433 eV per atom. The magnetic moment is 0.00 μB per cell. The density of states at the Fermi level is 1.04 states/eV/cell. For the formation energy, the calculation gives -0.547 eV/atom.

---

Entry 10:
Material: FeH12PtCl6O6
Method: DFT, SCAN
State: single point on PBEsol structure

a = 6.8704 Å, b = 6.8704 Å, c = 6.8704 Å
α = 97.27°, β = 97.27°, γ = 97.27°
With the nearest neighbours (Å) after each atom.
Sites, in units of the cell vectors:
Fe (0.0000, 0.0000, 0.0000)  6 O 1.93
H (0.0604, 0.3639, 0.1616)  1 O 1.00
H (0.1612, 0.7392, 0.8141)  1 O 1.00
H (0.1616, 0.0604, 0.3639)  1 O 1.00
H (0.1859, 0.8388, 0.2608)  1 O 1.00
H (0.2608, 0.1859, 0.8388)  1 O 1.00
H (0.3639, 0.1616, 0.0604)  1 O 1.00
H (0.6361, 0.8384, 0.9396)  1 O 1.00
H (0.7392, 0.8141, 0.1612)  1 O 1.00
H (0.8141, 0.1612, 0.7392)  1 O 1.00
H (0.8384, 0.9396, 0.6361)  1 O 1.00
H (0.8388, 0.2608, 0.1859)  1 O 1.00
H (0.9396, 0.6361, 0.8384)  1 O 1.00
Pt (0.5000, 0.5000, 0.5000)  6 Cl 2.35
Cl (0.2159, 0.3137, 0.5774)  2 H 2.09-2.10
Cl (0.3137, 0.5774, 0.2159)  2 H 2.09-2.10
Cl (0.4226, 0.7841, 0.6863)  2 H 2.09-2.10
Cl (0.5774, 0.2159, 0.3137)  2 H 2.09-2.10
Cl (0.6863, 0.4226, 0.7841)  2 H 2.09-2.10
Cl (0.7841, 0.6863, 0.4226)  2 H 2.09-2.10
O (0.0532, 0.7407, 0.8988)  2 H 1.00
O (0.1012, 0.9468, 0.2593)  2 H 1.00
O (0.2593, 0.1012, 0.9468)  2 H 1.00
O (0.7407, 0.8988, 0.0532)  2 H 1.00
O (0.8988, 0.0532, 0.7407)  2 H 1.00
O (0.9468, 0.2593, 0.1012)  2 H 1.00

Calculated values
As for the space-group type: R-3. The value obtained for the final energy is -9.238 eV per atom. The magnetic moment is 0.10 μB per cell. The density of states at the Fermi level is 5.58 states/eV/cell.

---

Please write out number 4 again, unchanged.
Material: NaSrS3
Method: DFT, SCAN
State: single point on PBEsol structure

a = 4.9156 Å, b = 4.9156 Å, c = 4.9156 Å
α = 90.00°, β = 90.00°, γ = 90.00°
With the nearest neighbours (Å) after each atom.
Sites, in units of the cell vectors:
Na (0.0000, 0.0000, 0.0000)  6 S 2.46
Sr (0.5000, 0.5000, 0.5000)  12 S 3.48
S (0.0000, 0.0000, 0.5000)  2 Na 2.46
S (0.0000, 0.5000, 0.0000)  2 Na 2.46
S (0.5000, 0.0000, 0.0000)  2 Na 2.46

Calculated values
The value obtained for the uncorrected formation energy is -2.617 eV per formula unit. As for the space-group type: Pm-3m. The value obtained for the final energy is -11.598 eV per atom. The magnetic moment is 2.99 μB per cell. The density of states at the Fermi level is 2.27 states/eV/cell.

---

Q: Which value of final energy does entry 7 give?
A: -43.556 eV per atom

---

What did the sixth record say?
Material: CsSi2HO5
Method: DFT, SCAN
State: single point on PBEsol structure

a = 5.0411 Å, b = 8.7089 Å, c = 12.9193 Å
α = 90.00°, β = 90.00°, γ = 90.00°
With the nearest neighbours (Å) after each atom.
Sites, in units of the cell vectors:
Cs (0.0852, 0.2496, 0.1897)  9 O 3.05-3.37, 2 H 3.12
Cs (0.4148, 0.7504, 0.6897)  9 O 3.05-3.37, 2 H 3.12
Cs (0.5852, 0.2504, 0.8103)  9 O 3.05-3.37, 2 H 3.12
Cs (0.9148, 0.7496, 0.3103)  9 O 3.05-3.37, 2 H 3.12
Si (0.0513, 0.5652, 0.9319)  4 O 1.60-1.64
Si (0.0513, 0.9352, 0.9326)  4 O 1.60-1.64
Si (0.4487, 0.0648, 0.4326)  4 O 1.60-1.64
Si (0.4487, 0.4348, 0.4319)  4 O 1.60-1.64
Si (0.5513, 0.5648, 0.0674)  4 O 1.60-1.64
Si (0.5513, 0.9348, 0.0681)  4 O 1.60-1.64
Si (0.9487, 0.0652, 0.5681)  4 O 1.60-1.64
Si (0.9487, 0.4352, 0.5674)  4 O 1.60-1.64
H (0.0003, 0.0007, 0.7506)  2 O 1.21
H (0.9997, 0.5007, 0.7494)  2 O 1.21
H (0.5003, 0.4993, 0.2494)  2 O 1.21
H (0.4997, 0.9993, 0.2506)  2 O 1.21
O (0.0677, 0.7503, 0.9124)  2 Si 1.63
O (0.1217, 0.0272, 0.8290)  1 H 1.21
O (0.1217, 0.4740, 0.8280)  1 H 1.21
O (0.2481, 0.0198, 0.5281)  2 Si 1.64
O (0.2481, 0.4804, 0.5273)  2 Si 1.64
O (0.2519, 0.5196, 0.0273)  2 Si 1.64
O (0.2519, 0.9802, 0.0281)  2 Si 1.64
O (0.3783, 0.5260, 0.3280)  1 H 1.21
O (0.3783, 0.9728, 0.3290)  1 H 1.21
O (0.4323, 0.2497, 0.4124)  2 Si 1.63
O (0.5677, 0.7497, 0.0876)  2 Si 1.63
O (0.6217, 0.0260, 0.1720)  1 H 1.21
O (0.6217, 0.4728, 0.1710)  1 H 1.21
O (0.7481, 0.0196, 0.4727)  2 Si 1.64
O (0.7481, 0.4802, 0.4719)  2 Si 1.64
O (0.7519, 0.5198, 0.9719)  2 Si 1.64
O (0.7519, 0.9804, 0.9727)  2 Si 1.64
O (0.8783, 0.5272, 0.6710)  1 H 1.21
O (0.8783, 0.9740, 0.6720)  1 H 1.21
O (0.9323, 0.2503, 0.5876)  2 Si 1.63

Calculated values
As for the space-group type: P2_12_12_1. The value obtained for the final energy is -12.881 eV per atom. The magnetic moment is 0.00 μB per cell. The density of states at the Fermi level is 0.00 states/eV/cell.

---

Q: Look up the final energy of the first one.
A: -34.772 eV per atom